(1)
## RbYCl2 (PBE)

Data for a geometry-optimized RbYCl2 structure.

Summary:
DOS at the Fermi energy	3.3	states/eV/f.u.
magnetization	1.8	μB/f.u.
uncorrected formation energy	-27.9	kcal/mol of atoms
energy relative to the lowest polymorph listed for this composition	262.0	meV per atom

a = 7.0342 Å, b = 7.0342 Å, c = 8.1707 Å
α = 64.50°, β = 64.50°, γ = 90.00°
Last column: nearest neighbours and their distance in Å.
Fractional positions:
1 Rb 0.2500 0.7500 0.5000  4 Cl 3.26
2 Rb 0.5000 0.5000 0.0000  4 Cl 3.26
3 Y 0.7500 0.2500 0.5000  4 Cl 2.72
4 Y 0.0000 0.0000 0.0000  4 Cl 2.72
5 Cl 0.3750 0.3093 0.7500  2 Y 2.72
6 Cl 0.0593 0.6250 0.2500  2 Y 2.72
7 Cl 0.6907 0.1250 0.2500  2 Y 2.72
8 Cl 0.8750 0.9407 0.7500  2 Y 2.72

(2)
## Rb3YCl (PBE)

Data for a geometry-optimized Rb3YCl structure.

Summary:
DOS at the Fermi energy	15.7	states/eV/f.u.
magnetization	3.0	μB/f.u.
uncorrected formation energy	8.6	kcal/mol of atoms
energy relative to the lowest polymorph listed for this composition	579.3	meV per atom

a = 7.6847 Å, b = 7.6847 Å, c = 7.6847 Å
α = 90.00°, β = 90.00°, γ = 90.00°
Last column: nearest neighbours and their distance in Å.
Fractional positions:
1 Cl 0.5000 0.5000 0.5000  12 Rb 5.43
2 Rb 0.0000 0.0000 0.5000  2 Y 3.84
3 Rb 0.5000 0.0000 0.0000  2 Y 3.84
4 Rb 0.0000 0.5000 0.0000  2 Y 3.84
5 Y 0.0000 0.0000 0.0000  6 Rb 3.84

(3)
## Rb2Y3Cl10 (PBE)

Data for a geometry-optimized Rb2Y3Cl10 structure.

Summary:
DOS at the Fermi energy	2.5	states/eV/f.u.
magnetization	0.2	μB/f.u.
uncorrected formation energy	-49.0	kcal/mol of atoms

a = 7.5274 Å, b = 10.6668 Å, c = 13.1846 Å
α = 110.79°, β = 106.59°, γ = 90.00°
Last column: nearest neighbours and their distance in Å.
Fractional positions:
1 Cl 0.9765 0.7954 0.9529  3 Y 2.71-2.81
2 Cl 0.4854 0.8036 0.9708  2 Y 2.70
3 Cl 0.7672 0.7168 0.5344  1 Y 2.55
4 Cl 0.5000 0.0000 0.5000  2 Y 2.68
5 Cl 0.6018 0.5135 0.7042  1 Y 2.55
6 Cl 0.2328 0.2832 0.4656  1 Y 2.55
7 Cl 0.8752 0.2458 0.7504  2 Y 2.73-2.75
8 Cl 0.1248 0.7542 0.2496  2 Y 2.73-2.75
9 Cl 0.3982 0.4865 0.2958  1 Y 2.55
10 Cl 0.6209 0.9596 0.7753  2 Y 2.66-2.71
11 Cl 0.8976 0.4865 0.2958  1 Y 2.55
12 Cl 0.7660 0.5000 0.0000  2 Y 2.73
13 Cl 0.2340 0.5000 0.0000  2 Y 2.73
14 Cl 0.0235 0.2046 0.0471  3 Y 2.71-2.81
15 Cl 0.0000 0.0000 0.5000  2 Y 2.68
16 Cl 0.8456 0.0404 0.2247  2 Y 2.66-2.71
17 Cl 0.1024 0.5135 0.7042  1 Y 2.55
18 Cl 0.5146 0.1964 0.0292  2 Y 2.70
19 Cl 0.3791 0.0404 0.2247  2 Y 2.66-2.71
20 Cl 0.1544 0.9596 0.7753  2 Y 2.66-2.71
21 Rb 0.2761 0.6520 0.5522  5 Cl 3.39-3.67
22 Rb 0.6190 0.7273 0.2380  10 Cl 3.47-3.83
23 Rb 0.7239 0.3480 0.4478  5 Cl 3.39-3.67
24 Rb 0.3810 0.2727 0.7620  10 Cl 3.47-3.83
25 Y 0.2578 0.0000 0.0000  6 Cl 2.70-2.81
26 Y 0.1795 0.0284 0.3591  6 Cl 2.55-2.73
27 Y 0.0783 0.4764 0.1567  6 Cl 2.55-2.75
28 Y 0.8205 0.9716 0.6409  6 Cl 2.55-2.73
29 Y 0.7422 0.0000 0.0000  6 Cl 2.70-2.81
30 Y 0.9217 0.5236 0.8433  6 Cl 2.55-2.75

(4)
## RbY2Cl7 (PBE)

Data for a geometry-optimized RbY2Cl7 structure.

Summary:
DOS at the Fermi energy	0.0	states/eV/f.u.
magnetization	0.0	μB/f.u.
uncorrected formation energy	-52.0	kcal/mol of atoms
energy relative to the lowest polymorph listed for this composition	0.0	meV per atom

a = 6.9989 Å, b = 12.7413 Å, c = 13.7620 Å
α = 90.00°, β = 90.00°, γ = 90.00°
Last column: nearest neighbours and their distance in Å.
Fractional positions:
1 Cl 0.4902 0.0393 0.1329  2 Y 2.72-2.74
2 Cl 0.4892 0.5777 0.1281  2 Y 2.71-2.73
3 Cl 0.7500 0.8101 0.1137  2 Y 2.74-2.77
4 Cl 0.9902 0.5393 0.3671  2 Y 2.72-2.74
5 Cl 0.0098 0.4607 0.6329  2 Y 2.72-2.74
6 Cl 0.2500 0.1899 0.8863  2 Y 2.74-2.77
7 Cl 0.2500 0.3101 0.3863  2 Y 2.74-2.77
8 Cl 0.4897 0.1929 0.6747  2 Y 2.72-2.73
9 Cl 0.9902 0.9607 0.8671  2 Y 2.72-2.74
10 Cl 0.5098 0.5393 0.3671  2 Y 2.72-2.74
11 Cl 0.5108 0.4223 0.8719  2 Y 2.71-2.73
12 Cl 0.7500 0.6899 0.6137  2 Y 2.74-2.77
13 Cl 0.0098 0.0393 0.1329  2 Y 2.72-2.74
14 Cl 0.9892 0.4223 0.8719  2 Y 2.71-2.73
15 Cl 0.5098 0.9607 0.8671  2 Y 2.72-2.74
16 Cl 0.4897 0.3071 0.1747  2 Y 2.72-2.73
17 Cl 0.0108 0.5777 0.1281  2 Y 2.71-2.73
18 Cl 0.0108 0.9223 0.6281  2 Y 2.71-2.73
19 Cl 0.9897 0.6929 0.8253  2 Y 2.72-2.73
20 Cl 0.0103 0.1929 0.6747  2 Y 2.72-2.73
21 Cl 0.0103 0.3071 0.1747  2 Y 2.72-2.73
22 Cl 0.4892 0.9223 0.6281  2 Y 2.71-2.73
23 Cl 0.4902 0.4607 0.6329  2 Y 2.72-2.74
24 Cl 0.9897 0.8071 0.3253  2 Y 2.72-2.73
25 Cl 0.5103 0.8071 0.3253  2 Y 2.72-2.73
26 Cl 0.9892 0.0777 0.3719  2 Y 2.71-2.73
27 Cl 0.5103 0.6929 0.8253  2 Y 2.72-2.73
28 Cl 0.5108 0.0777 0.3719  2 Y 2.71-2.73
29 Rb 0.2500 0.8015 0.0342  10 Cl 3.55-3.72
30 Rb 0.7500 0.1985 0.9658  10 Cl 3.55-3.72
31 Rb 0.7500 0.3015 0.4658  10 Cl 3.55-3.72
32 Rb 0.2500 0.6985 0.5342  10 Cl 3.55-3.72
33 Y 0.7500 0.6569 0.2533  7 Cl 2.71-2.74
34 Y 0.2500 0.0404 0.7398  7 Cl 2.72-2.77
35 Y 0.7500 0.8431 0.7533  7 Cl 2.71-2.74
36 Y 0.7500 0.5404 0.7602  7 Cl 2.72-2.77
37 Y 0.7500 0.9596 0.2602  7 Cl 2.72-2.77
38 Y 0.2500 0.3431 0.7467  7 Cl 2.71-2.74
39 Y 0.2500 0.1569 0.2467  7 Cl 2.71-2.74
40 Y 0.2500 0.4596 0.2398  7 Cl 2.72-2.77

(5)
## RbYCl2 (PBE)

Data for a geometry-optimized RbYCl2 structure.

Summary:
DOS at the Fermi energy	0.7	states/eV/f.u.
magnetization	0.0	μB/f.u.
uncorrected formation energy	-33.9	kcal/mol of atoms
energy relative to the lowest polymorph listed for this composition	0.0	meV per atom

a = 9.6953 Å, b = 9.6953 Å, c = 9.6953 Å
α = 25.07°, β = 25.07°, γ = 25.07°
Last column: nearest neighbours and their distance in Å.
Fractional positions:
1 Rb 0.5000 0.5000 0.5000  6 Cl 3.20
2 Cl 0.0929 0.0929 0.0929  1 Y 2.62
3 Cl 0.9071 0.9071 0.9071  1 Y 2.62
4 Y 0.0000 0.0000 0.0000  2 Cl 2.62

(6)
## Rb2YCl4 (PBE)

Data for a geometry-optimized Rb2YCl4 structure.

Summary:
DOS at the Fermi energy	3.3	states/eV/f.u.
magnetization	0.5	μB/f.u.
uncorrected formation energy	-43.6	kcal/mol of atoms

a = 5.3566 Å, b = 5.3566 Å, c = 9.2200 Å
α = 73.11°, β = 73.11°, γ = 90.00°
Last column: nearest neighbours and their distance in Å.
Fractional positions:
1 Rb 0.6424 0.6424 0.7151  5 Cl 3.29-3.59
2 Rb 0.3576 0.3576 0.2849  5 Cl 3.29-3.59
3 Y 0.0000 0.0000 0.0000  6 Cl 2.68-2.72
4 Cl 0.1620 0.1620 0.6760  1 Y 2.72
5 Cl 0.5000 0.0000 0.0000  2 Y 2.68
6 Cl 0.8380 0.8380 0.3240  1 Y 2.72
7 Cl 0.0000 0.5000 0.0000  2 Y 2.68

(7)
## RbY2Cl7 (PBE)

Data for a geometry-optimized RbY2Cl7 structure.

Summary:
DOS at the Fermi energy	0.0	states/eV/f.u.
magnetization	0.0	μB/f.u.
uncorrected formation energy	-51.1	kcal/mol of atoms
energy relative to the lowest polymorph listed for this composition	36.9	meV per atom

a = 5.3133 Å, b = 8.0866 Å, c = 8.0866 Å
α = 116.49°, β = 90.00°, γ = 90.00°
Last column: nearest neighbours and their distance in Å.
Fractional positions:
1 Cl 0.5000 0.6718 0.9524  2 Y 2.75-2.77
2 Cl 0.5000 0.9524 0.6718  2 Y 2.75-2.77
3 Cl 0.5000 0.3282 0.0476  2 Y 2.75-2.77
4 Cl 0.5000 0.0476 0.3282  2 Y 2.75-2.77
5 Cl 0.0000 0.7045 0.2955  2 Y 2.66
6 Cl 0.5000 0.5000 0.5000  2 Y 2.70
7 Cl 0.0000 0.2955 0.7045  2 Y 2.66
8 Y 0.5000 0.6966 0.3034  7 Cl 2.66-2.77
9 Y 0.5000 0.3034 0.6966  7 Cl 2.66-2.77
10 Rb 0.0000 0.0000 0.0000  10 Cl 3.65-4.06

(8)
## Rb3YCl (PBE)

Data for a geometry-optimized Rb3YCl structure.

Summary:
DOS at the Fermi energy	9.0	states/eV/f.u.
magnetization	2.2	μB/f.u.
uncorrected formation energy	-4.7	kcal/mol of atoms
energy relative to the lowest polymorph listed for this composition	0.0	meV per atom

a = 6.5263 Å, b = 6.5263 Å, c = 6.5263 Å
α = 90.00°, β = 90.00°, γ = 90.00°
Last column: nearest neighbours and their distance in Å.
Fractional positions:
1 Rb 0.5000 0.0000 0.0000  2 Cl 3.26
2 Rb 0.0000 0.5000 0.0000  2 Cl 3.26
3 Rb 0.0000 0.0000 0.5000  2 Cl 3.26
4 Y 0.5000 0.5000 0.5000  12 Rb 4.61
5 Cl 0.0000 0.0000 0.0000  6 Rb 3.26